The following is a DFT calculation (PBE) of an optimized crystal structure of Rb2ReSnN4.

Properties
Space group: No. 59
Energy (eV/atom): -6.4966
Formation energy from raw total energies (eV per atom): -0.04

Geometry as CIF:
```
data_Rb2ReSnN4
_space_group_name_H-M_alt 'P 1'
_space_group_IT_number 1
_space_group_name_Hall 'P 1'
_cell_length_a 6.2457
_cell_length_b 7.1163
_cell_length_c 7.3476
_cell_angle_alpha 90.00
_cell_angle_beta 90.00
_cell_angle_gamma 90.00
loop_
_atom_site_label
_atom_site_type_symbol
_atom_site_fract_x
_atom_site_fract_y
_atom_site_fract_z
Rb1 Rb 0.5000 0.2918 0.2442
Rb2 Rb 0.5000 0.2918 0.7558
Rb3 Rb 0.0000 0.7082 0.7442
Rb4 Rb 0.0000 0.7082 0.2558
Re1 Re 0.5000 0.8522 0.5000
Re2 Re 0.0000 0.1477 0.0000
Sn1 Sn 0.0000 0.1861 0.5000
Sn2 Sn 0.5000 0.8139 0.0000
N1 N 0.2457 0.0071 0.0000
N2 N 0.7457 0.9929 0.5000
N3 N 0.2544 0.9929 0.5000
N4 N 0.7544 0.0070 0.0000
N5 N 0.5000 0.7009 0.7036
N6 N 0.0000 0.2991 0.2036
N7 N 0.0000 0.2991 0.7964
N8 N 0.5000 0.7009 0.2964
```